Entry 1:
Density functional theory data (GGA+U) for a geometry-optimized Li5MnO5 structure.

Values from the calculation:
M_tot = 8.140 Bohr magnetons per cell
DFT total energy = -5.47 eV/atom
calculated density = 2.77 g/cm3

abc: 9.549 3.913 5.740
angles: 90.00 108.50 90.00
Space group C2/m (No. 12)
Unique sites:
Li: 0.000 0.000 0.000 x2
Li: 0.185 0.500 0.365 x4
Li: 0.205 0.500 0.834 x4
Mn: 0.000 0.000 0.500 x2
O: 0.000 0.500 0.500 x2
O: 0.142 0.000 0.327 x4
O: 0.154 0.000 0.814 x4

=====

Entry 2:
Density functional theory data (GGA+U) for a geometry-optimized LiMn4O8 structure.

Values from the calculation:
M_tot = 52.000 Bohr magnetons per cell
calculated density = 4.29 g/cm3
E above lowest polymorph = 0.0102 eV per atom

abc: 5.922 9.786 9.469
angles: 90.00 90.00 90.00
Space group Cmc2_1 (No. 36)
Unique sites:
Li: 0.000 0.127 0.000 x4
Mn: 0.000 0.147 0.435 x4
Mn: 0.000 0.381 0.935 x4
Mn: 0.248 0.382 0.210 x8
O: 0.000 0.034 0.609 x4
O: 0.000 0.218 0.799 x4
O: 0.000 0.281 0.289 x4
O: 0.000 0.479 0.114 x4
O: 0.232 0.273 0.033 x8
O: 0.245 0.023 0.357 x8

=====

Entry 3:
Density functional theory data (GGA+U) for a geometry-optimized Li2MnO2 structure.

Values from the calculation:
M_tot = 8.411 Bohr magnetons per cell
calculated density = 3.50 g/cm3
E above lowest polymorph = 0.3260 eV per atom

abc: 5.649 5.649 2.998
angles: 90.00 90.00 90.00
Space group P4/mbm (No. 127)
Unique sites:
Li: 0.135 0.365 0.000 x4
Mn: 0.000 0.000 0.500 x2
O: 0.189 0.689 0.500 x4

=====

Entry 4:
Density functional theory data (GGA+U) for a geometry-optimized LiMnO2 structure.

Values from the calculation:
M_tot = 32.000 Bohr magnetons per cell
DFT total energy = -6.59 eV/atom
calculated density = 4.15 g/cm3

abc: 5.956 5.966 8.454
angles: 90.13 90.06 90.33
Space group P-1 (No. 2)
Unique sites:
Li: 0.000 0.000 0.000 x1
Li: 0.242 0.242 0.753 x2
Li: 0.249 0.746 0.749 x2
Li: 0.249 0.747 0.251 x2
Li: 0.500 0.500 0.500 x1
Mn: 0.000 0.000 0.500 x1
Mn: 0.000 0.500 0.000 x1
Mn: 0.000 0.500 0.500 x1
Mn: 0.250 0.250 0.250 x2
Mn: 0.500 0.000 0.000 x1
Mn: 0.500 0.000 0.500 x1
Mn: 0.500 0.500 0.000 x1
O: 0.015 0.485 0.265 x2
O: 0.017 0.016 0.272 x2
O: 0.219 0.754 0.500 x2
O: 0.230 0.246 0.992 x2
O: 0.248 0.220 0.514 x2
O: 0.254 0.725 0.000 x2
O: 0.482 0.481 0.236 x2
O: 0.486 0.014 0.261 x2

=====

Entry 5:
Density functional theory data (GGA+U) for a geometry-optimized Li7Mn10O24 structure.

Values from the calculation:
M_tot = 57.983 Bohr magnetons per cell
DFT total energy = -6.62 eV/atom
calculated density = 3.83 g/cm3

abc: 8.259 8.267 13.089
angles: 90.00 107.77 90.00
Space group C2 (No. 5)
Unique sites:
Li: 0.000 0.000 0.000 x2
Li: 0.003 0.884 0.749 x4
Li: 0.164 0.262 0.828 x4
Li: 0.166 0.511 0.331 x4
Mn: 0.085 0.137 0.415 x4
Mn: 0.085 0.634 0.915 x4
Mn: 0.168 0.381 0.085 x4
Mn: 0.169 0.391 0.583 x4
Mn: 0.249 0.135 0.251 x4
O: 0.024 0.136 0.264 x4
O: 0.026 0.635 0.766 x4
O: 0.075 0.377 0.427 x4
O: 0.075 0.396 0.927 x4
O: 0.105 0.862 0.919 x4
O: 0.105 0.912 0.417 x4
O: 0.148 0.155 0.575 x4
O: 0.148 0.617 0.076 x4
O: 0.182 0.144 0.091 x4
O: 0.185 0.627 0.594 x4
O: 0.242 0.367 0.235 x4
O: 0.246 0.405 0.735 x4

=====

Entry 6:
Density functional theory data (GGA+U) for a geometry-optimized Li13Mn8O24 structure.

Values from the calculation:
M_tot = 20.991 Bohr magnetons per cell
calculated density = 3.67 g/cm3
E above lowest polymorph = 0.0021 eV per atom

abc: 5.006 8.611 9.704
angles: 90.00 99.26 90.00
Space group P2/m (No. 10)
Unique sites:
Li: 0.000 0.000 0.000 x1
Li: 0.245 0.347 0.751 x4
Li: 0.253 0.500 0.249 x2
Li: 0.256 0.153 0.254 x4
Li: 0.261 0.000 0.746 x2
Mn: 0.000 0.168 0.500 x2
Mn: 0.000 0.335 0.000 x2
Mn: 0.500 0.170 0.000 x2
Mn: 0.500 0.333 0.500 x2
O: 0.090 0.000 0.383 x2
O: 0.092 0.500 0.883 x2
O: 0.145 0.180 0.888 x4
O: 0.150 0.315 0.386 x4
O: 0.350 0.186 0.615 x4
O: 0.352 0.316 0.114 x4
O: 0.394 0.000 0.114 x2
O: 0.408 0.500 0.617 x2

=====

Entry 7:
Density functional theory data (GGA+U) for a geometry-optimized LiMn16O32 structure.

Values from the calculation:
M_tot = 37.806 Bohr magnetons per cell
calculated density = 4.20 g/cm3
E above lowest polymorph = 0.2296 eV per atom

abc: 10.340 5.736 18.855
angles: 90.00 98.28 90.00
Space group Cm (No. 8)
Unique sites:
Li: 0.000 0.000 0.000 x2
Mn: 0.013 0.250 0.352 x4
Mn: 0.029 0.500 0.098 x2
Mn: 0.031 0.500 0.597 x2
Mn: 0.041 0.249 0.847 x4
Mn: 0.134 0.000 0.480 x2
Mn: 0.162 0.500 0.966 x2
Mn: 0.262 0.000 0.351 x2
Mn: 0.271 0.000 0.753 x2
Mn: 0.278 0.250 0.098 x4
Mn: 0.285 0.258 0.595 x4
Mn: 0.394 0.000 0.225 x2
Mn: 0.428 0.500 0.717 x2
O: 0.057 0.500 0.291 x2
O: 0.083 0.000 0.299 x2
O: 0.092 0.000 0.781 x2
O: 0.103 0.500 0.796 x2
O: 0.108 0.273 0.041 x4
O: 0.111 0.256 0.544 x4
O: 0.184 0.222 0.410 x4
O: 0.200 0.267 0.907 x4
O: 0.208 0.500 0.150 x2
O: 0.229 0.000 0.655 x2
O: 0.232 0.000 0.158 x2
O: 0.248 0.500 0.660 x2
O: 0.317 0.000 0.534 x2
O: 0.326 0.500 0.038 x2
O: 0.330 0.500 0.539 x2
O: 0.342 0.224 0.292 x4
O: 0.349 0.000 0.046 x2
O: 0.385 0.268 0.778 x4
O: 0.442 0.000 0.404 x2
O: 0.447 0.224 0.157 x4
O: 0.455 0.249 0.649 x4
O: 0.471 0.500 0.415 x2
O: 0.487 0.500 0.898 x2
O: 0.495 0.000 0.908 x2

=====

Entry 8:
Density functional theory data (GGA+U) for a geometry-optimized LiMn2O2 structure.

Values from the calculation:
M_tot = 18.798 Bohr magnetons per cell
calculated density = 2.94 g/cm3
E above lowest polymorph = 0.1316 eV per atom

abc: 4.183 4.183 9.592
angles: 90.00 90.00 90.00
Space group I4/mmm (No. 139)
Unique sites:
Li: 0.000 0.000 0.000 x2
Mn: 0.000 0.500 0.250 x4
O: 0.000 0.000 0.198 x4

=====

Entry 9:
Density functional theory data (GGA+U) for a geometry-optimized Li3Mn2O5 structure.

Values from the calculation:
M_tot = 14.000 Bohr magnetons per cell
calculated density = 3.83 g/cm3
E above lowest polymorph = 0.0006 eV per atom

abc: 5.081 5.259 7.649
angles: 110.07 103.04 97.07
Space group P-1 (No. 2)
Unique sites:
Li: 0.000 0.000 0.000 x1
Li: 0.004 0.414 0.797 x2
Li: 0.019 0.203 0.405 x2
Li: 0.500 0.000 0.500 x1
Mn: 0.498 0.198 0.895 x2
Mn: 0.499 0.600 0.699 x2
O: 0.267 0.388 0.057 x2
O: 0.269 0.785 0.850 x2
O: 0.271 0.581 0.454 x2
O: 0.281 0.238 0.666 x2
O: 0.287 0.029 0.248 x2

=====

Entry 10:
Density functional theory data (GGA+U) for a geometry-optimized Li3Mn2O5 structure.

Values from the calculation:
M_tot = 14.000 Bohr magnetons per cell
calculated density = 3.82 g/cm3
E above lowest polymorph = 0.0239 eV per atom

abc: 2.972 7.833 8.216
angles: 105.06 90.28 96.75
Space group P-1 (No. 2)
Unique sites:
Li: 0.000 0.000 0.000 x1
Li: 0.000 0.000 0.500 x1
Li: 0.126 0.376 0.093 x2
Li: 0.415 0.802 0.720 x2
Mn: 0.178 0.394 0.598 x2
Mn: 0.434 0.809 0.194 x2
O: 0.010 0.022 0.756 x2
O: 0.125 0.370 0.834 x2
O: 0.179 0.406 0.359 x2
O: 0.426 0.796 0.967 x2
O: 0.449 0.796 0.437 x2

=====

Entry 11:
Density functional theory data (GGA+U) for a geometry-optimized Li7Mn5O12 structure.

Values from the calculation:
M_tot = 18.000 Bohr magnetons per cell
calculated density = 3.87 g/cm3
E above lowest polymorph = 0.0174 eV per atom

abc: 6.025 6.508 6.524
angles: 72.07 66.22 76.97
Space group P-1 (No. 2)
Unique sites:
Li: 0.000 0.000 0.000 x1
Li: 0.083 0.326 0.160 x2
Li: 0.266 0.002 0.489 x2
Li: 0.408 0.675 0.831 x2
Mn: 0.171 0.668 0.328 x2
Mn: 0.321 0.330 0.676 x2
Mn: 0.500 0.000 0.000 x1
O: 0.036 0.661 0.108 x2
O: 0.167 0.982 0.231 x2
O: 0.219 0.343 0.425 x2
O: 0.303 0.651 0.569 x2
O: 0.379 0.013 0.759 x2
O: 0.440 0.316 0.920 x2

=====

Entry 12:
Density functional theory data (GGA+U) for a geometry-optimized Li9Mn20O40 structure.

Values from the calculation:
M_tot = 69.000 Bohr magnetons per cell
DFT total energy = -6.92 eV/atom
calculated density = 4.02 g/cm3

abc: 8.763 10.173 10.209
angles: 79.46 64.65 64.75
Space group P1 (No. 1)
Unique sites:
Li: 0.000 0.000 0.000 x1
Li: 0.042 0.304 0.106 x1
Li: 0.192 0.198 0.406 x1
Li: 0.252 0.509 0.506 x1
Li: 0.387 0.400 0.807 x1
Li: 0.459 0.693 0.902 x1
Li: 0.587 0.602 0.201 x1
Li: 0.650 0.899 0.297 x1
Li: 0.792 0.798 0.601 x1
Mn: 0.025 0.653 0.051 x1
Mn: 0.120 0.757 0.754 x1
Mn: 0.126 0.748 0.255 x1
Mn: 0.127 0.255 0.753 x1
Mn: 0.225 0.856 0.453 x1
Mn: 0.312 0.951 0.153 x1
Mn: 0.325 0.452 0.154 x1
Mn: 0.334 0.946 0.651 x1
Mn: 0.411 0.050 0.858 x1
Mn: 0.513 0.151 0.054 x1
Mn: 0.517 0.152 0.552 x1
Mn: 0.523 0.650 0.553 x1
Mn: 0.616 0.250 0.253 x1
Mn: 0.706 0.353 0.455 x1
Mn: 0.713 0.847 0.950 x1
Mn: 0.730 0.345 0.953 x1
Mn: 0.825 0.442 0.652 x1
Mn: 0.915 0.049 0.355 x1
Mn: 0.923 0.547 0.352 x1
Mn: 0.925 0.551 0.851 x1
O: 0.072 0.444 0.668 x1
O: 0.084 0.943 0.169 x1
O: 0.091 0.463 0.160 x1
O: 0.123 0.939 0.646 x1
O: 0.137 0.568 0.857 x1
O: 0.178 0.036 0.343 x1
O: 0.179 0.557 0.337 x1
O: 0.196 0.056 0.835 x1
O: 0.272 0.131 0.049 x1
O: 0.272 0.642 0.073 x1
O: 0.287 0.146 0.568 x1
O: 0.287 0.670 0.559 x1
O: 0.339 0.766 0.257 x1
O: 0.365 0.234 0.748 x1
O: 0.388 0.756 0.733 x1
O: 0.393 0.258 0.243 x1
O: 0.447 0.870 0.960 x1
O: 0.466 0.347 0.974 x1
O: 0.477 0.842 0.471 x1
O: 0.491 0.337 0.449 x1
O: 0.543 0.953 0.139 x1
O: 0.543 0.969 0.658 x1
O: 0.560 0.435 0.150 x1
O: 0.572 0.456 0.635 x1
O: 0.624 0.046 0.870 x1
O: 0.649 0.072 0.360 x1
O: 0.661 0.544 0.371 x1
O: 0.712 0.530 0.847 x1
O: 0.740 0.159 0.538 x1
O: 0.753 0.165 0.065 x1
O: 0.761 0.629 0.547 x1
O: 0.780 0.652 0.034 x1
O: 0.834 0.249 0.269 x1
O: 0.868 0.742 0.767 x1
O: 0.902 0.262 0.757 x1
O: 0.911 0.737 0.247 x1
O: 0.930 0.357 0.455 x1
O: 0.971 0.837 0.949 x1
O: 0.981 0.854 0.435 x1
O: 0.987 0.357 0.933 x1